Entry 1:
## Sn2MoPb (PBE-GGA)

Data for crystalline Sn2MoPb at its relaxed geometry.

Results
Its space-group type is I-42d (122). The formation enthalpy at 0 K is 2.55 eV/f.u.

Lattice parameters (Å, degrees): 4.2511 4.2511 11.1569 79.02 79.02 90.00
Element x y z (fractional)
1 Pb 0.0000 0.0000 0.0000
2 Pb 0.7500 0.2500 0.5000
3 Mo 0.5000 0.5000 0.0000
4 Mo 0.2500 0.7500 0.5000
5 Sn 0.6154 0.1250 0.2500
6 Sn 0.1346 0.6250 0.2500
7 Sn 0.3750 0.3846 0.7500
8 Sn 0.8750 0.8654 0.7500

Entry 2:
## Sn2MoPb (PBE-GGA)

Data for crystalline Sn2MoPb at its relaxed geometry.

Results
Its space-group type is R-3m (166). The formation enthalpy at 0 K is 0.95 eV/f.u.

Lattice parameters (Å, degrees): 3.3001 3.3001 10.6879 81.12 81.12 60.00
Element x y z (fractional)
1 Pb 0.0000 0.0000 0.0000
2 Mo 0.5000 0.5000 0.5000
3 Sn 0.1005 0.1005 0.6985
4 Sn 0.8995 0.8995 0.3015

Entry 3:
## SnMoPb (PBE-GGA)

Data for crystalline SnMoPb at its relaxed geometry.

Results
Its space-group type is Cmce (64). The formation enthalpy at 0 K is 1.39 eV/f.u.

Lattice parameters (Å, degrees): 5.8713 7.2726 7.1415 90.00 90.00 113.81
Element x y z (fractional)
1 Mo 0.6060 0.2120 0.5830
2 Mo 0.8940 0.7880 0.0830
3 Mo 0.3940 0.7880 0.4170
4 Mo 0.1060 0.2120 0.9170
5 Pb 0.3087 0.1174 0.2500
6 Pb 0.1913 0.8826 0.7500
7 Pb 0.6913 0.8826 0.7500
8 Pb 0.8087 0.1174 0.2500
9 Sn 0.7971 0.5942 0.4209
10 Sn 0.7029 0.4058 0.9209
11 Sn 0.2029 0.4058 0.5791
12 Sn 0.2971 0.5942 0.0791

Entry 4:
## SrSnMo2Pb (PBE-GGA)

Data for crystalline SrSnMo2Pb at its relaxed geometry.

Results
Its space-group type is P4/mmm (123). The energy relative to the lowest polymorph listed for this composition comes out at 2.67 eV/f.u. The formation enthalpy at 0 K is 11.39 eV/f.u.

Lattice parameters (Å, degrees): 5.1756 5.7758 5.1756 90.00 90.00 90.00
Element x y z (fractional)
1 Pb 0.5000 0.5000 0.5000
2 Sr 0.0000 0.0000 0.0000
3 Mo 0.0000 0.0000 0.5000
4 Mo 0.5000 0.0000 0.0000
5 Sn 0.0000 0.5000 0.0000

Q: Among the records above, which one has the lowest formation enthalpy at 0 K?
A: number 2